## A
First-principles (GGA-PBE) data for a geometry-optimized La3SbRh structure, as listed in Alexandria.

## Properties
N(E_F) (states/eV per cell): 5.26
Mass density (Mg/m³): 6.41
Volume (Å³/cell): 166.23

Cell: 5.498 5.498 5.498 Å, 90.00 90.00 90.00°
Positions (direct):
La: 0.500 0.000 0.000
Sb: 0.500 0.500 0.500
La: 0.000 0.500 0.000
La: 0.000 0.000 0.500
Rh: 0.000 0.000 0.000



## B
First-principles (GGA-PBE) data for a geometry-optimized La3SbRh structure, as listed in Alexandria.

## Properties
N(E_F) (states/eV per cell): 9.10
Mass density (Mg/m³): 6.73
Volume (Å³/cell): 316.27

Cell: 5.756 7.468 9.033 Å, 115.63 90.05 112.73°
Positions (direct):
Rh: 0.864 0.730 0.057
Sb: 0.627 0.254 0.454
La: 0.161 0.323 0.645
La: 0.373 0.747 0.124
La: 0.898 0.796 0.763
La: 0.102 0.204 0.237
Sb: 0.373 0.746 0.546
La: 0.839 0.677 0.355
La: 0.627 0.253 0.876
Rh: 0.136 0.270 0.943



Most stable: B. Least stable: A.



## A
First-principles (GGA-PBE) data for a geometry-optimized La5Sb2Rh structure, as listed in Alexandria.

## Properties
N(E_F) (states/eV per cell): 6.17
Mass density (Mg/m³): 6.93
Volume (Å³/cell): 249.53

Cell: 7.754 7.754 6.864 Å, 125.04 125.03 87.72°
Positions (direct):
Sb: 0.224 0.745 0.499
La: 0.740 0.250 0.007
La: 0.745 0.745 0.975
Sb: 0.745 0.224 0.499
La: 0.250 0.250 0.012
La: 0.250 0.740 0.007
Rh: 0.075 0.075 0.145
La: 0.749 0.749 0.410



## B
First-principles (GGA-PBE) data for a geometry-optimized La5Sb2Rh structure, as listed in Alexandria.

## Properties
N(E_F) (states/eV per cell): 30.88
Mass density (Mg/m³): 6.91
Volume (Å³/cell): 1000.19

Cell: 8.381 9.258 12.891 Å, 90.00 90.00 90.00°
Positions (direct):
Sb: 0.076 0.993 0.327
Rh: 0.925 0.750 0.986
La: 0.313 0.539 0.565
La: 0.458 0.250 0.003
La: 0.627 0.250 0.699
La: 0.542 0.750 0.997
Rh: 0.075 0.250 0.014
La: 0.042 0.250 0.503
La: 0.958 0.750 0.497
La: 0.187 0.539 0.065
Sb: 0.576 0.007 0.173
La: 0.848 0.750 0.205
La: 0.687 0.461 0.435
La: 0.373 0.750 0.301
La: 0.813 0.461 0.935
La: 0.687 0.039 0.435
La: 0.873 0.250 0.199
Sb: 0.424 0.993 0.827
La: 0.187 0.961 0.065
La: 0.348 0.250 0.295
La: 0.152 0.250 0.795
La: 0.652 0.750 0.705
La: 0.813 0.039 0.935
La: 0.313 0.961 0.565
Rh: 0.425 0.250 0.514
Sb: 0.924 0.493 0.673
La: 0.127 0.750 0.801
Sb: 0.576 0.493 0.173
Rh: 0.575 0.750 0.486
Sb: 0.424 0.507 0.827
Sb: 0.924 0.007 0.673
Sb: 0.076 0.507 0.327



Most stable: B. Least stable: A.